Entry 1:
## Cd2SbTeO (PBE-GGA)

Data for an optimized crystal structure of Cd2SbTeO.

## Properties
Raw formation energy   37 meV/atom
Total magnetization   0.0 μB/f.u.
Calculated total energy   -2.774 eV/atom
Space-group type   P4/mmm (123)

a b c (Å): 5.7283 3.9913 5.7283
angles (deg): 90.00 90.00 90.00
With the nearest neighbours (Å) after each atom.
Sites, in units of the cell vectors:
Sb 0.5000 0.5000 0.5000  8 Cd 3.49
Te 0.0000 0.0000 0.0000  2 O 2.00
O 0.0000 0.5000 0.0000  2 Te 2.00
Cd 0.0000 0.0000 0.5000  2 Te 2.86
Cd 0.5000 0.0000 0.0000  2 Te 2.86

Entry 2:
## NiIr2Br (PBE-GGA)

Data for an optimized crystal structure of NiIr2Br.

## Properties
Raw formation energy   750 meV/atom
Total magnetization   0.7 μB/f.u.
Calculated total energy   -5.544 eV/atom
Space-group type   P4/mmm (123)
Excess energy over the best structure of this formula in the dataset   281.4 meV/atom

a b c (Å): 3.0089 3.0089 6.8857
angles (deg): 90.00 90.00 90.00
With the nearest neighbours (Å) after each atom.
Sites, in units of the cell vectors:
Br 0.5000 0.5000 0.7500  8 Ir 2.97, 4 Br 3.01
Ir 0.0000 0.0000 0.0512  4 Ni 2.53, 1 Ir 2.74
Ir 0.0000 0.0000 0.4488  4 Ni 2.53, 1 Ir 2.74
Ni 0.5000 0.5000 0.2500  8 Ir 2.53

Entry 3:
## SnIBr (PBE-GGA)

Data for an optimized crystal structure of SnIBr.

## Properties
Raw formation energy   -633 meV/atom
Total magnetization   0.0 μB/f.u.
Calculated total energy   -3.041 eV/atom
Space-group type   P3m1 (156)

a b c (Å): 7.1936 4.4767 4.4767
angles (deg): 120.00 90.00 90.00
With the nearest neighbours (Å) after each atom.
Sites, in units of the cell vectors:
I 0.5839 0.3333 0.6667  3 Sn 3.21
Sn 0.3193 0.6667 0.3333  3 Br 3.04, 3 I 3.21
Br 0.0968 0.0000 0.0000  3 Sn 3.04

Copy entry 3 word for word.
## SnIBr (PBE-GGA)

Data for an optimized crystal structure of SnIBr.

## Properties
Raw formation energy   -633 meV/atom
Total magnetization   0.0 μB/f.u.
Calculated total energy   -3.041 eV/atom
Space-group type   P3m1 (156)

a b c (Å): 7.1936 4.4767 4.4767
angles (deg): 120.00 90.00 90.00
With the nearest neighbours (Å) after each atom.
Sites, in units of the cell vectors:
I 0.5839 0.3333 0.6667  3 Sn 3.21
Sn 0.3193 0.6667 0.3333  3 Br 3.04, 3 I 3.21
Br 0.0968 0.0000 0.0000  3 Sn 3.04